K3CuW2S8, optimized geometry, DFT PBE; M_tot = 0.0 μB per cell; ρ = 3.5 Mg/m³; formation energy without anion corrections = -0.7484 eV/atom; space group = P-3m1
1.0
6.984 0.000 0.000
-3.492 6.048 0.000
0.000 0.000 9.119
K Cu W S
3 1 2 8
Direct
0.000 0.000 0.000
0.333 0.667 0.648
0.667 0.333 0.352
0.000 0.000 0.500
0.333 0.667 0.239
0.667 0.333 0.761
0.161 0.322 0.322
0.161 0.839 0.322
0.322 0.161 0.678
0.333 0.667 0.000
0.667 0.333 0.000
0.678 0.839 0.322
0.839 0.161 0.678
0.839 0.678 0.678



ScRu4, optimized geometry, DFT PBE; M_tot = 1.1 μB per cell; formation enthalpy at 0 K = 1.3564 eV/atom; ρ = 8.3 Mg/m³; Fermi-level density of states = 9.175 states/eV/cell; space group = Im-3m
1.0
-2.820 2.820 2.820
2.820 -2.820 2.820
2.820 2.820 -2.820
Sc Ru
1 4
Direct
0.000 0.000 0.000
0.000 0.000 0.500
0.000 0.500 0.000
0.500 0.000 0.000
0.500 0.500 0.500



Ac8SiGe5, optimized geometry, DFT PBE; M_tot = 0.0 μB per cell; ρ = 7.9 Mg/m³; formation energy without anion corrections = -0.6788 eV/atom; Fermi-level density of states = 1.030 states/eV/cell; space group = I-4
1.0
-4.886 4.886 4.881
4.886 -4.886 4.881
4.886 4.886 -4.881
Ac Si Ge
8 1 5
Direct
0.005 0.126 0.750
0.247 0.496 0.623
0.375 0.254 0.250
0.376 0.753 0.249
0.504 0.126 0.751
0.746 0.995 0.121
0.874 0.624 0.377
0.874 0.625 0.879
0.500 0.500 0.000
0.000 0.375 0.125
0.125 0.000 0.375
0.250 0.875 0.875
0.625 0.750 0.625
0.750 0.250 0.500



Ba4SmPu3O12, optimized geometry, DFT PBE; M_tot = 11.0 μB per cell; ρ = 7.8 Mg/m³; formation energy without anion corrections = -2.9830 eV/atom; Fermi-level density of states = 16.954 states/eV/cell; space group = Im-3m
1.0
-4.422 4.422 4.422
4.422 -4.422 4.422
4.422 4.422 -4.422
Ba Sm Pu O
4 1 3 12
Direct
0.000 0.000 0.500
0.000 0.500 0.000
0.500 0.000 0.000
0.500 0.500 0.500
0.000 0.000 0.000
0.000 0.500 0.500
0.500 0.000 0.500
0.500 0.500 0.000
0.000 0.259 0.259
0.000 0.741 0.741
0.250 0.500 0.750
0.250 0.750 0.500
0.259 0.000 0.259
0.259 0.259 0.000
0.500 0.250 0.750
0.500 0.750 0.250
0.741 0.000 0.741
0.741 0.741 0.000
0.750 0.250 0.500
0.750 0.500 0.250



Li14Mn2Se9, optimized geometry, DFT PBE; M_tot = 10.0 μB per cell; ρ = 3.1 Mg/m³; formation energy without anion corrections = -1.1253 eV/atom; Fermi-level density of states = 0.000 states/eV/cell; space group = P-3
1.0
7.428 0.000 0.000
-3.714 6.433 0.000
0.000 0.000 10.410
Li Mn Se
14 2 9
Direct
0.000 0.000 0.250
0.000 0.000 0.750
0.015 0.672 0.412
0.032 0.358 0.090
0.326 0.968 0.090
0.328 0.343 0.412
0.343 0.015 0.588
0.358 0.326 0.910
0.642 0.674 0.090
0.657 0.985 0.412
0.672 0.657 0.588
0.674 0.032 0.910
0.968 0.642 0.910
0.985 0.328 0.588
0.333 0.667 0.755
0.667 0.333 0.245
0.000 0.000 0.500
0.025 0.338 0.838
0.313 0.975 0.838
0.333 0.667 0.512
0.338 0.313 0.162
0.662 0.687 0.838
0.667 0.333 0.488
0.687 0.025 0.162
0.975 0.662 0.162



Zr2ZnBi2, optimized geometry, DFT PBE; M_tot = 0.0 μB per cell; formation enthalpy at 0 K = -0.0182 eV/atom; ρ = 8.8 Mg/m³; Fermi-level density of states = 3.941 states/eV/cell; space group = P4/mbm
1.0
8.054 0.000 0.000
0.000 8.054 0.000
0.000 0.000 3.868
Zr Zn Bi
4 2 4
Direct
0.138 0.362 0.000
0.362 0.862 0.000
0.638 0.138 0.000
0.862 0.638 0.000
0.000 0.000 0.500
0.500 0.500 0.500
0.157 0.657 0.500
0.343 0.157 0.500
0.657 0.843 0.500
0.843 0.343 0.500



CsPdN2, optimized geometry, DFT PBE; M_tot = 0.0 μB per cell; ρ = 5.6 Mg/m³; formation energy without anion corrections = 0.8940 eV/atom; Fermi-level density of states = 6.220 states/eV/cell; space group = I-42d
1.0
-3.157 3.157 3.951
3.157 -3.157 3.951
3.157 3.157 -3.951
Cs Pd N
2 2 4
Direct
0.000 0.000 0.000
0.750 0.250 0.500
0.250 0.750 0.500
0.500 0.500 0.000
0.274 0.125 0.649
0.375 0.726 0.851
0.476 0.625 0.351
0.875 0.524 0.149



La2ZnW, optimized geometry, DFT PBE; M_tot = 0.0 μB per cell; formation enthalpy at 0 K = 0.5580 eV/atom; ρ = 8.2 Mg/m³; Fermi-level density of states = 3.911 states/eV/cell; space group = R-3m
1.0
1.805 1.042 9.410
-1.805 1.042 9.410
0.000 -2.084 9.410
La Zn W
2 1 1
Direct
0.243 0.243 0.243
0.757 0.757 0.757
0.000 0.000 0.000
0.500 0.500 0.500



TiHgS3, optimized geometry, DFT PBE; M_tot = 0.0 μB per cell; ρ = 4.9 Mg/m³; formation energy without anion corrections = 0.8211 eV/atom; Fermi-level density of states = 11.921 states/eV/cell; space group = Pm-3m
1.0
4.905 0.000 0.000
0.000 4.905 0.000
0.000 0.000 4.905
Ti Hg S
1 1 3
Direct
0.000 0.000 0.000
0.500 0.500 0.500
0.000 0.500 0.500
0.500 0.000 0.500
0.500 0.500 0.000



Si2MoIr, optimized geometry, DFT PBE; M_tot = 0.0 μB per cell; ρ = 9.9 Mg/m³; formation energy without anion corrections = -0.3469 eV/atom; Fermi-level density of states = 1.703 states/eV/cell; space group = Pmmm
1.0
2.861 0.000 0.000
0.000 3.823 0.000
0.000 0.000 5.260
Si Mo Ir
2 1 1
Direct
0.000 0.000 0.231
0.000 0.000 0.769
0.500 0.500 0.000
0.000 0.500 0.500



Ge2PtI, optimized geometry, DFT PBE; M_tot = 0.0 μB per cell; ρ = 9.1 Mg/m³; formation energy without anion corrections = 0.4824 eV/atom; Fermi-level density of states = 2.639 states/eV/cell; space group = Fm-3m
1.0
0.000 3.491 3.491
3.491 0.000 3.491
3.491 3.491 0.000
Ge Pt I
2 1 1
Direct
0.250 0.250 0.250
0.750 0.750 0.750
0.000 0.000 0.000
0.500 0.500 0.500



Tb4Ho3Er2, optimized geometry, DFT PBE; M_tot = 0.0 μB per cell; formation enthalpy at 0 K = 0.0986 eV/atom; ρ = 8.7 Mg/m³; Fermi-level density of states = 25.825 states/eV/cell; space group = C2/c
1.0
8.034 -5.749 0.000
8.034 5.749 0.000
-0.621 0.000 6.056
Tb Ho Er
8 6 4
Direct
0.096 0.812 0.987
0.145 0.431 0.154
0.188 0.904 0.513
0.431 0.145 0.654
0.569 0.855 0.346
0.812 0.096 0.487
0.855 0.569 0.846
0.904 0.188 0.013
0.071 0.264 0.579
0.264 0.071 0.079
0.403 0.597 0.250
0.597 0.403 0.750
0.736 0.929 0.921
0.929 0.736 0.421
0.240 0.521 0.682
0.479 0.760 0.818
0.521 0.240 0.182
0.760 0.479 0.318



Ba3Mg7Sn4, optimized geometry, DFT PBE; M_tot = 0.0 μB per cell; formation enthalpy at 0 K = -0.3942 eV/atom; ρ = 4.2 Mg/m³; Fermi-level density of states = 6.978 states/eV/cell; space group = C2/m
1.0
9.218 -2.477 0.000
9.218 2.477 0.000
-6.369 0.000 9.059
Ba Mg Sn
3 7 4
Direct
0.000 0.000 0.000
0.303 0.303 0.302
0.697 0.697 0.698
0.000 0.000 0.500
0.156 0.156 0.428
0.325 0.325 0.976
0.496 0.496 0.695
0.504 0.504 0.305
0.675 0.675 0.024
0.844 0.844 0.572
0.127 0.127 0.844
0.346 0.346 0.723
0.654 0.654 0.277
0.873 0.873 0.156



Tb2Er3Tl6, optimized geometry, DFT PBE; M_tot = 0.0 μB per cell; formation enthalpy at 0 K = -0.0005 eV/atom; ρ = 10.3 Mg/m³; Fermi-level density of states = 8.294 states/eV/cell; space group = I4/mmm
1.0
-2.344 2.344 15.004
2.344 -2.344 15.004
2.344 2.344 -15.004
Tb Er Tl
2 3 6
Direct
0.053 0.053 0.000
0.947 0.947 0.000
0.299 0.299 0.000
0.500 0.500 0.000
0.701 0.701 0.000
0.121 0.621 0.500
0.197 0.197 0.000
0.379 0.879 0.500
0.621 0.121 0.500
0.803 0.803 0.000
0.879 0.379 0.500



Hf2HgPb2, optimized geometry, DFT PBE; M_tot = 0.0 μB per cell; formation enthalpy at 0 K = 0.4348 eV/atom; ρ = 12.3 Mg/m³; Fermi-level density of states = 3.647 states/eV/cell; space group = I4/mmm
1.0
-2.130 2.130 7.234
2.130 -2.130 7.234
2.130 2.130 -7.234
Hf Hg Pb
2 1 2
Direct
0.095 0.095 0.000
0.905 0.905 0.000
0.500 0.500 0.000
0.250 0.750 0.500
0.750 0.250 0.500



Tb2ErTmSc, optimized geometry, DFT PBE; M_tot = 0.0 μB per cell; formation enthalpy at 0 K = 0.3737 eV/atom; ρ = 7.3 Mg/m³; Fermi-level density of states = 14.572 states/eV/cell; space group = Cmcm
1.0
4.063 -5.571 0.000
4.063 5.571 0.000
0.000 0.000 7.057
Tb Er Tm Sc
4 2 2 2
Direct
0.198 0.198 0.000
0.198 0.198 0.500
0.802 0.802 0.000
0.802 0.802 0.500
0.231 0.769 0.750
0.769 0.231 0.250
0.230 0.770 0.250
0.770 0.230 0.750
0.499 0.501 0.250
0.501 0.499 0.750



LiLa2Sc, optimized geometry, DFT PBE; M_tot = 0.0 μB per cell; formation enthalpy at 0 K = 0.3385 eV/atom; ρ = 4.6 Mg/m³; Fermi-level density of states = 22.212 states/eV/cell; space group = I-42d
1.0
-4.308 4.308 3.213
4.308 -4.308 3.213
4.308 4.308 -3.213
Li La Sc
2 4 2
Direct
0.000 0.000 0.000
0.750 0.250 0.500
0.095 0.125 0.470
0.375 0.905 0.030
0.655 0.625 0.530
0.875 0.345 0.970
0.250 0.750 0.500
0.500 0.500 0.000



PmScNi2, optimized geometry, DFT PBE; M_tot = 0.0 μB per cell; formation enthalpy at 0 K = -0.3497 eV/atom; ρ = 7.0 Mg/m³; Fermi-level density of states = 4.028 states/eV/cell; space group = P4/mmm
1.0
3.285 0.000 0.000
0.000 3.285 0.000
0.000 0.000 6.765
Pm Sc Ni
1 1 2
Direct
0.000 0.000 0.000
0.000 0.000 0.500
0.500 0.500 0.288
0.500 0.500 0.712



Tl2TcRh, optimized geometry, DFT PBE; M_tot = 0.0 μB per cell; formation enthalpy at 0 K = 0.3354 eV/atom; ρ = 12.5 Mg/m³; Fermi-level density of states = 3.184 states/eV/cell; space group = P4mm
1.0
3.014 0.000 0.000
0.000 3.014 0.000
0.000 0.000 8.926
Tl Tc Rh
2 1 1
Direct
0.000 0.000 0.000
0.500 0.500 0.336
0.500 0.500 0.753
0.000 0.000 0.584



USi2Ru, optimized geometry, DFT PBE; M_tot = 0.9 μB per cell; ρ = 10.7 Mg/m³; formation energy without anion corrections = -0.3702 eV/atom; Fermi-level density of states = 4.657 states/eV/cell; space group = P4/mmm
1.0
2.916 0.000 0.000
0.000 2.916 0.000
0.000 0.000 7.206
U Si Ru
1 2 1
Direct
0.000 0.000 0.000
0.500 0.500 0.296
0.500 0.500 0.704
0.000 0.000 0.500



no.,calculated total energy (eV per cell)
1,-76.79
2,-36.65
3,-70.88
4,-174.56
5,-104.63
6,-52.45
7,-38.24
8,-21.85
9,-16.47
10,-31.93
11,-14.90
12,-80.99
13,-38.46
14,-37.15
15,-25.45
16,-45.52
17,-33.49
18,-24.04
19,-21.11
20,-32.89